Entry 1:
A relaxed CaAc crystal, computed with GGA-PBE.

```
CaAc
1.0
3.877 0.000 0.000
0.000 5.728 0.000
-0.021 0.000 7.813
Ca Ac
2 2
direct
0.248 0.250 0.125 Ca
0.752 0.750 0.875 Ca
0.251 0.250 0.620 Ac
0.749 0.750 0.380 Ac
```

Results
Spin magnetization in μB per cell: 0.0
Energy relative to the elements in eV/atom: 0.034
Density of states at the Fermi level in states/eV/cell: 5.9
Energy above the most stable polymorph in this dataset in kJ/mol of atoms: 1.56
E in eV per atom: -3.02

Entry 2:
A relaxed AlMoP2Cl crystal, computed with GGA-PBE.

```
AlMoP2Cl
1.0
4.655 0.000 0.000
0.000 4.655 0.000
0.000 0.000 5.148
Al Mo P Cl
1 1 2 1
direct
0.000 0.000 0.000 Al
0.500 0.500 0.500 Mo
0.000 0.500 0.500 P
0.500 0.000 0.500 P
0.500 0.500 0.000 Cl
```

Results
Spin magnetization in μB per cell: 0.0
Density of states at the Fermi level in states/eV/cell: 3.5
Energy above the most stable polymorph in this dataset in kJ/mol of atoms: 0.00
E in eV per atom: -5.16

Entry 3:
A relaxed TaNbO3 crystal, computed with GGA-PBE.

```
TaNbO3
1.0
8.377 -2.017 0.000
8.377 2.017 0.000
-0.092 0.000 4.042
Ta Nb O
2 2 6
direct
0.155 0.155 0.491 Ta
0.845 0.845 0.509 Ta
0.343 0.343 0.009 Nb
0.657 0.657 0.991 Nb
0.000 0.500 0.271 O
0.108 0.108 0.987 O
0.394 0.394 0.513 O
0.500 0.000 0.729 O
0.606 0.606 0.487 O
0.892 0.892 0.013 O
```

Results
Spin magnetization in μB per cell: 0.0
Density of states at the Fermi level in states/eV/cell: 6.1
E in eV per atom: -9.28

Entry 4:
A relaxed SmPaS3 crystal, computed with GGA-PBE.

```
SmPaS3
1.0
7.520 0.000 0.000
0.000 3.895 0.000
0.000 0.000 15.298
Sm Pa S
4 4 12
direct
0.090 0.250 0.209 Sm
0.410 0.750 0.709 Sm
0.590 0.250 0.291 Sm
0.910 0.750 0.791 Sm
0.244 0.750 0.461 Pa
0.256 0.250 0.961 Pa
0.744 0.750 0.039 Pa
0.756 0.250 0.539 Pa
0.010 0.250 0.402 S
0.121 0.750 0.071 S
0.183 0.250 0.780 S
0.317 0.750 0.280 S
0.379 0.250 0.571 S
0.490 0.750 0.902 S
0.510 0.250 0.098 S
0.621 0.750 0.429 S
0.683 0.250 0.720 S
0.817 0.750 0.220 S
0.879 0.250 0.929 S
0.990 0.750 0.598 S
```

Results
Spin magnetization in μB per cell: 5.4
Density of states at the Fermi level in states/eV/cell: 17.1
Energy above the most stable polymorph in this dataset in kJ/mol of atoms: 0.00
E in eV per atom: -7.16

Entry 5:
A relaxed DyEr2Mn crystal, computed with GGA-PBE.

```
DyEr2Mn
1.0
1.686 0.973 11.209
-1.686 0.973 11.209
0.000 -1.947 11.209
Dy Er Mn
1 2 1
direct
0.000 0.000 0.000 Dy
0.418 0.418 0.418 Er
0.582 0.582 0.582 Er
0.500 0.500 0.500 Mn
```

Results
Spin magnetization in μB per cell: 3.1
Energy relative to the elements in eV/atom: 0.507
Density of states at the Fermi level in states/eV/cell: 4.7
Energy above the most stable polymorph in this dataset in kJ/mol of atoms: 38.05
E in eV per atom: -5.22

Entry 6:
A relaxed Ho2Be2InRh5 crystal, computed with GGA-PBE.

```
Ho2Be2InRh5
1.0
9.707 0.000 0.000
0.000 9.707 0.000
0.000 0.000 3.301
Ho Be In Rh
4 4 2 10
direct
0.177 0.323 0.000 Ho
0.323 0.823 0.000 Ho
0.677 0.177 0.000 Ho
0.823 0.677 0.000 Ho
0.119 0.619 0.000 Be
0.381 0.119 0.000 Be
0.619 0.881 0.000 Be
0.881 0.381 0.000 Be
0.000 0.000 0.000 In
0.500 0.500 0.000 In
0.000 0.500 0.500 Rh
0.069 0.781 0.500 Rh
0.219 0.069 0.500 Rh
0.281 0.569 0.500 Rh
0.431 0.281 0.500 Rh
0.500 0.000 0.500 Rh
0.569 0.719 0.500 Rh
0.719 0.431 0.500 Rh
0.781 0.931 0.500 Rh
0.931 0.219 0.500 Rh
```

Results
Spin magnetization in μB per cell: 0.0
Energy relative to the elements in eV/atom: -0.781
Density of states at the Fermi level in states/eV/cell: 13.0
E in eV per atom: -6.39

> The highest E belongs to which entry?

CaAc